Density functional theory data (PBE) for a relaxed NaZnGe3 crystal.

Unit cell a=4.973 b=4.973 c=4.973 alpha=90.00 beta=90.00 gamma=90.00
Fractional coordinates of all 5 atoms:
Ge1 0.000 0.000 0.500
Ge2 0.500 0.000 0.000
Ge3 0.000 0.500 0.000
Zn1 0.000 0.000 0.000
Na1 0.500 0.500 0.500

Results
**Energy of formation from the pure elements**: 9.42 kcal/mol of atoms
**Volume**: 123.0 Å³/f.u.
**E**: -2.8805 eV/atom
**E above lowest polymorph**: 0 meV/atom